This record from the Alexandria database describes a PBEsol-optimized structure of SbTe2CO. The functional is SCAN.

- electronic total energy (eV/cell) = -120.6

```
5
Lattice="4.6877 0.0000 0.0000 0.0000 4.6877 0.0000 0.0000 0.0000 4.6466" Properties=species:S:1:pos:R:3 pbc="T T T"
Sb 0.0000 0.0000 0.0000
Te 0.0000 2.3439 2.3233
Te 2.3439 0.0000 2.3233
C 2.3439 2.3439 0.0000
O 0.0000 0.0000 2.3233
```